A plane-wave DFT calculation with PBE was carried out for crystalline KMgF3 at its relaxed geometry.

abc: 19.015 6.098 7.405
angles: 90.00 159.08 90.00
Fractional positions:
Mg 0.648 0.250 0.148
Mg 0.148 0.250 0.648
Mg 0.852 0.750 0.352
Mg 0.352 0.750 0.852
F 0.250 0.500 0.750
F 0.750 0.000 0.250
F 0.750 0.500 0.250
F 0.496 0.250 0.996
F 0.598 0.750 0.598
F 0.004 0.750 0.504
F 0.902 0.250 0.902
F 0.250 0.000 0.750
F 0.098 0.750 0.098
F 0.996 0.250 0.496
F 0.504 0.750 0.004
F 0.402 0.250 0.402
K 0.625 0.250 0.625
K 0.875 0.750 0.875
K 0.125 0.250 0.125
K 0.375 0.750 0.375

Properties
Uncorrected formation energy (meV/atom): -3166
Raw total energy (eV for the cell shown): -96.55
Space group: Pmma, No. 51